(1)
Dy2Mn2AlNi5, optimized geometry, DFT PBE-GGA; crystal system = tetragonal; E_tot = -124.5 eV/cell; M_tot = 15.823 μB/cell; calculated density = 8.3 g/cm³; formation enthalpy at 0 K = -0.21 eV/atom
1.0
9.1774 0.0000 0.0000
0.0000 9.1774 0.0000
0.0000 0.0000 3.5903
Dy Mn Al Ni
4 4 2 10
Direct
0.1793 0.3207 0.0000 Dy
0.3207 0.8207 0.0000 Dy
0.6793 0.1793 0.0000 Dy
0.8207 0.6793 0.0000 Dy
0.1200 0.6200 0.0000 Mn
0.3800 0.1200 0.0000 Mn
0.6200 0.8800 0.0000 Mn
0.8800 0.3800 0.0000 Mn
0.0000 0.0000 0.0000 Al
0.5000 0.5000 0.0000 Al
0.0000 0.5000 0.5000 Ni
0.0568 0.7970 0.5000 Ni
0.2030 0.0568 0.5000 Ni
0.2970 0.5568 0.5000 Ni
0.4432 0.2970 0.5000 Ni
0.5000 0.0000 0.5000 Ni
0.5568 0.7030 0.5000 Ni
0.7030 0.4432 0.5000 Ni
0.7970 0.9432 0.5000 Ni
0.9432 0.2030 0.5000 Ni


(2)
Tm2Rh3Pb, optimized geometry, DFT PBE-GGA; crystal system = trigonal; E_tot = -39.0 eV/cell; M_tot = 0.000 μB/cell; calculated density = 12.5 g/cm³; formation enthalpy at 0 K = -0.72 eV/atom
1.0
4.7601 0.0000 0.0000
-2.3801 4.1224 0.0000
0.0000 0.0000 5.7773
Tm Rh Pb
2 3 1
Direct
0.3333 0.6667 0.1807 Tm
0.6667 0.3333 0.8193 Tm
0.0000 0.0000 0.0000 Rh
0.3333 0.6667 0.6883 Rh
0.6667 0.3333 0.3117 Rh
0.0000 0.0000 0.5000 Pb


(3)
Ba5S4Cl, optimized geometry, DFT PBE-GGA; ΔE_f (raw) = -2046 meV/atom; crystal system = orthorhombic; E_tot = -48.4 eV/cell; M_tot = 0.000 μB/cell; calculated density = 4.2 g/cm³
1.0
-2.2765 3.2133 11.3959
2.2765 -3.2133 11.3959
2.2765 3.2133 -11.3959
Ba S Cl
5 4 1
Direct
0.0000 0.0000 0.0000 Ba
0.1994 0.1994 0.0000 Ba
0.3925 0.3925 0.0000 Ba
0.6075 0.6075 0.0000 Ba
0.8006 0.8006 0.0000 Ba
0.0978 0.5978 0.5000 S
0.3003 0.8003 0.5000 S
0.6997 0.1997 0.5000 S
0.9022 0.4022 0.5000 S
0.5000 0.0000 0.5000 Cl


(4)
CaLa2Pt, optimized geometry, DFT PBE-GGA; crystal system = tetragonal; E_tot = -19.9 eV/cell; M_tot = 0.000 μB/cell; calculated density = 6.8 g/cm³; formation enthalpy at 0 K = -0.50 eV/atom
1.0
3.6669 0.0000 0.0000
0.0000 3.6669 0.0000
0.0000 0.0000 9.2922
Ca La Pt
1 2 1
Direct
0.0000 0.0000 0.0000 Ca
0.0000 0.0000 0.6373 La
0.5000 0.5000 0.3226 La
0.5000 0.5000 0.8075 Pt


(5)
CdFePd5, optimized geometry, DFT PBE-GGA; crystal system = tetragonal; E_tot = -35.8 eV/cell; M_tot = 4.228 μB/cell; calculated density = 10.0 g/cm³; formation enthalpy at 0 K = -0.06 eV/atom
1.0
4.1268 0.0000 0.0000
0.0000 4.1268 0.0000
0.0000 0.0000 6.8070
Cd Fe Pd
1 1 5
Direct
0.0000 0.0000 0.0000 Cd
0.5000 0.5000 0.5000 Fe
0.0000 0.5000 0.2881 Pd
0.0000 0.5000 0.7119 Pd
0.5000 0.0000 0.2881 Pd
0.5000 0.0000 0.7119 Pd
0.5000 0.5000 0.0000 Pd


(6)
Zr2TaSi2, optimized geometry, DFT PBE-GGA; ΔE_f (raw) = -56 meV/atom; crystal system = tetragonal; E_tot = -40.1 eV/cell; M_tot = 0.000 μB/cell; calculated density = 7.2 g/cm³
1.0
-1.7221 1.7221 8.1189
1.7221 -1.7221 8.1189
1.7221 1.7221 -8.1189
Zr Ta Si
2 1 2
Direct
0.1104 0.1104 0.0000 Zr
0.8896 0.8896 0.0000 Zr
0.5000 0.5000 0.0000 Ta
0.2500 0.7500 0.5000 Si
0.7500 0.2500 0.5000 Si


(7)
Y2InAu, optimized geometry, DFT PBE-GGA; crystal system = trigonal; E_tot = -20.9 eV/cell; M_tot = 0.000 μB/cell; calculated density = 7.3 g/cm³; formation enthalpy at 0 K = -0.50 eV/atom
1.0
1.9345 1.1169 8.6312
-1.9345 1.1169 8.6312
0.0000 -2.2338 8.6312
Y In Au
2 1 1
Direct
0.2411 0.2411 0.2411 Y
0.7589 0.7589 0.7589 Y
0.0000 0.0000 0.0000 In
0.5000 0.5000 0.5000 Au


(8)
Co2HgTe, optimized geometry, DFT PBE-GGA; ΔE_f (raw) = 427 meV/atom; crystal system = monoclinic; E_tot = -15.9 eV/cell; M_tot = 1.735 μB/cell; calculated density = 11.3 g/cm³
1.0
3.1854 0.0000 0.0000
0.0000 3.1821 0.0000
-0.0229 0.0000 6.4423
Co Hg Te
2 1 1
Direct
0.0018 0.0000 0.2234 Co
0.9982 0.0000 0.7766 Co
0.5000 0.5000 0.5000 Hg
0.5000 0.5000 0.0000 Te